Record 1
Nd2ScIn2Rh5, relaxed, DFT PBE-GGA; raw total energy = -126.372 eV per cell; calculated formation energy = -5.085 eV/f.u.; ρ = 8.99 g/cm3
1.0
3.631 0.000 0.000
0.000 10.469 0.000
0.000 0.000 10.469
Rh In Sc Nd
10 4 2 4
Direct
0.500 0.696 0.443 Rh
0.500 0.000 0.500 Rh
0.500 0.443 0.304 Rh
0.500 0.804 0.943 Rh
0.500 0.304 0.557 Rh
0.500 0.943 0.196 Rh
0.500 0.500 0.000 Rh
0.500 0.057 0.804 Rh
0.500 0.196 0.057 Rh
0.500 0.557 0.696 Rh
0.000 0.130 0.630 In
0.000 0.630 0.870 In
0.000 0.370 0.130 In
0.000 0.870 0.370 In
0.000 0.500 0.500 Sc
0.000 0.000 0.000 Sc
0.000 0.331 0.831 Nd
0.000 0.669 0.169 Nd
0.000 0.831 0.669 Nd
0.000 0.169 0.331 Nd

---

Record 2
Cs2Na6Tl9, relaxed, DFT PBE-GGA; raw total energy = -31.085 eV per cell; calculated formation energy = -0.167 eV/f.u.; ρ = 5.88 g/cm3
1.0
6.620 0.000 0.000
-3.310 5.733 0.000
0.000 0.000 16.691
Na Cs Tl
6 2 9
Direct
0.667 0.333 0.000 Na
0.333 0.667 0.666 Na
0.667 0.333 0.334 Na
0.667 0.333 0.666 Na
0.333 0.667 0.334 Na
0.333 0.667 0.000 Na
0.000 0.000 0.665 Cs
0.000 0.000 0.335 Cs
0.500 0.000 0.500 Tl
0.500 0.500 0.500 Tl
0.000 0.500 0.500 Tl
0.000 0.500 0.168 Tl
0.500 0.000 0.168 Tl
0.000 0.500 0.832 Tl
0.500 0.500 0.168 Tl
0.500 0.500 0.832 Tl
0.500 0.000 0.832 Tl

---

Record 3
Ba2SnS2Br2, relaxed, DFT PBE-GGA; raw total energy = -30.206 eV per cell; formation energy from raw total energies = -1.537 eV/atom; ρ = 4.21 g/cm3
1.0
5.404 0.000 0.000
0.000 5.404 0.000
-2.702 -2.702 8.338
Br Sn Ba S
2 1 2 2
Direct
0.189 0.189 0.378 Br
0.811 0.811 0.622 Br
0.000 0.000 0.000 Sn
0.616 0.616 0.233 Ba
0.384 0.384 0.767 Ba
0.500 0.000 0.000 S
0.000 0.500 0.000 S

---

Record 4
CaAc2DyTe5, relaxed, DFT PBE-GGA; raw total energy = -40.898 eV per cell; formation energy from raw total energies = -1.152 eV/atom; ρ = 5.96 g/cm3
1.0
-0.151 0.782 -5.498
-0.268 -5.494 -0.774
-11.680 0.514 0.394
Dy Ca Te Ac
1 1 5 2
Direct
0.000 0.000 0.500 Dy
0.000 0.000 0.000 Ca
0.500 0.000 0.500 Te
0.000 0.000 0.754 Te
0.000 0.500 0.500 Te
0.000 0.000 0.246 Te
0.500 0.500 0.000 Te
0.500 0.500 0.701 Ac
0.500 0.500 0.299 Ac

---

Record 5
Na3LaZn, relaxed, DFT PBE-GGA; raw total energy = -8.189 eV per cell; calculated formation energy = 1.970 eV/f.u.; ρ = 2.68 g/cm3
1.0
-2.477 4.646 -1.701
-4.496 -1.320 2.942
2.065 2.699 4.366
Na Zn La
3 1 1
Direct
0.500 0.000 0.000 Na
0.000 0.000 0.500 Na
0.000 0.500 0.000 Na
0.000 0.000 0.000 Zn
0.500 0.500 0.500 La

---

Record 6
SmPu3S4, relaxed, DFT PBE-GGA; raw total energy = -78.920 eV per cell; formation energy from raw total energies = -1.837 eV/atom; ρ = 9.44 g/cm3; excess energy over the best structure of this formula in the dataset = 2.6 meV per atom
1.0
-3.916 3.165 2.501
-3.962 -3.673 -1.555
0.759 -2.845 4.789
Pu S Sm
3 4 1
Direct
0.500 0.000 0.500 Pu
0.500 0.500 0.000 Pu
0.000 0.500 0.500 Pu
0.000 0.500 0.000 S
0.000 0.000 0.500 S
0.500 0.000 0.000 S
0.500 0.500 0.500 S
0.000 0.000 0.000 Sm

---

Record 7
NaTlF2, relaxed, DFT PBE-GGA; raw total energy = -16.165 eV per cell; formation energy from raw total energies = -2.184 eV/atom; ρ = 6.36 g/cm3; excess energy over the best structure of this formula in the dataset = 8.4 meV per atom
1.0
3.582 0.000 0.000
1.791 3.102 0.000
1.791 1.034 6.241
Tl F Na
1 2 1
Direct
0.500 0.500 0.500 Tl
0.266 0.266 0.202 F
0.734 0.734 0.798 F
0.000 0.000 0.000 Na

---

Record 8
NdBeGe2Pd, relaxed, DFT PBE-GGA; raw total energy = -26.060 eV per cell; calculated formation energy = -3.138 eV/f.u.; ρ = 7.51 g/cm3
1.0
-4.054 -0.097 -0.755
0.721 -1.807 -3.638
1.354 -3.775 4.482
Nd Ge Be Pd
1 2 1 1
Direct
0.000 0.000 0.000 Nd
0.621 0.621 0.241 Ge
0.379 0.379 0.759 Ge
0.250 0.750 0.500 Be
0.750 0.250 0.500 Pd

---

Record 9
TeS2IN, relaxed, DFT PBE-GGA; raw total energy = -14.480 eV per cell; formation energy from raw total energies = 1.358 eV/atom; ρ = 4.97 g/cm3; excess energy over the best structure of this formula in the dataset = 248.4 meV per atom
1.0
-1.682 -3.583 -3.558
3.645 -3.457 1.758
-2.574 -1.386 2.612
S N Te I
2 1 1 1
Direct
0.500 0.000 0.000 S
0.000 0.500 0.000 S
0.000 0.000 0.500 N
0.500 0.500 0.500 Te
0.000 0.000 0.000 I

---

Record 10
KBC, relaxed, DFT PBE-GGA; raw total energy = -28.157 eV per cell; calculated formation energy = 2.921 eV/f.u.; ρ = 2.48 g/cm3
1.0
1.599 -9.918 0.000
1.599 9.918 0.000
0.000 0.000 2.611
K B C
2 2 2
Direct
0.389 0.611 0.750 K
0.611 0.389 0.250 K
0.248 0.752 0.250 B
0.752 0.248 0.750 B
0.991 0.009 0.250 C
0.009 0.991 0.750 C

---

Record 11
TbCuRh, relaxed, DFT PBE-GGA; raw total energy = -35.274 eV per cell; calculated formation energy = -1.559 eV/f.u.; ρ = 9.80 g/cm3; excess energy over the best structure of this formula in the dataset = 32.1 meV per atom
1.0
-0.235 -3.123 -2.425
3.106 1.358 -2.050
4.343 -3.591 4.205
Tb Rh Cu
2 2 2
Direct
0.523 0.338 0.356 Tb
0.023 0.838 0.691 Tb
0.023 0.838 0.272 Rh
0.523 0.338 0.775 Rh
0.023 0.337 0.023 Cu
0.523 0.838 0.023 Cu

---

Record 12
BaAlRu2, relaxed, DFT PBE-GGA; raw total energy = -22.143 eV per cell; calculated formation energy = 2.074 eV/f.u.; ρ = 8.05 g/cm3
1.0
0.061 -7.421 -5.616
2.997 -7.481 -4.654
0.784 -8.794 -2.943
Ba Ru Al
1 2 1
Direct
0.250 0.250 0.250 Ba
0.017 0.017 0.017 Ru
0.483 0.483 0.483 Ru
0.750 0.750 0.750 Al

---

Among the records above, which one has the highest raw total energy?
Na3LaZn

---

Among the records above, which one has the lowest ρ?
KBC

---

ρ of number 5 (Na3LaZn)?
2.68 g/cm3